PrPuCuAu: relaxed, PBE-GGA.

Unit cell a=5.153 b=5.153 c=5.153 alpha=60.00 beta=60.00 gamma=60.00
Site moments in Bohr magnetons follow the coordinates.
Atoms (fractional coordinates):
Au: 0.750 0.750 0.750  0.01
Pu: 0.000 0.000 0.000  5.40
Pr: 0.500 0.500 0.500  0.09
Cu: 0.250 0.250 0.250  0.01

* SG: F-43m
* ΔE_f: -0.247 eV/atom

HgTe2MoI: relaxed, PBE-GGA.

Unit cell a=5.620 b=5.620 c=5.847 alpha=90.00 beta=90.00 gamma=90.00
Site moments in Bohr magnetons follow the coordinates.
Atoms (fractional coordinates):
I: 0.000 0.000 0.500  -0.07
Mo: 0.500 0.500 0.500  3.84
Hg: 0.000 0.000 0.000  -0.01
Te: 0.500 0.000 0.000  -0.26
Te: 0.000 0.500 0.000  -0.26

* excess energy over the best structure of this formula in the dataset: 88.3 kJ/mol of atoms
* ΔE_f (raw): 1.202 eV per atom
* SG: P4/mmm

MgCuNiGe: relaxed, PBE-GGA.

Unit cell a=4.255 b=4.255 c=4.255 alpha=60.00 beta=60.00 gamma=60.00
Atoms (fractional coordinates):
Mg: 0.000 0.000 0.000
Cu: 0.250 0.250 0.250
Ge: 0.500 0.500 0.500
Ni: 0.750 0.750 0.750

* SG: F-43m
* ΔE_f: -0.169 eV/atom

PaCoB4: relaxed, PBE-GGA.

Unit cell a=3.131 b=4.959 c=4.959 alpha=62.68 beta=71.60 gamma=71.60
Site moments in Bohr magnetons follow the coordinates.
Atoms (fractional coordinates):
B: 0.260 0.061 0.420  0.00
B: 0.260 0.420 0.061  0.00
B: 0.740 0.580 0.939  0.00
B: 0.740 0.939 0.580  0.00
Pa: 0.000 0.000 0.000  -0.09
Co: 0.500 0.500 0.500  1.10

* excess energy over the best structure of this formula in the dataset: 46.5 kJ/mol of atoms
* SG: Immm
* ΔE_f: -0.105 eV/atom

Ta3NbS: relaxed, PBE-GGA.

Unit cell a=5.337 b=5.179 c=6.583 alpha=90.00 beta=90.00 gamma=90.00
Atoms (fractional coordinates):
Ta: 0.364 0.363 0.201
Ta: 0.864 0.990 0.701
Ta: 0.926 0.436 0.451
Ta: 0.926 0.436 0.950
S: 0.175 0.678 0.701
S: 0.675 0.675 0.201
Ta: 0.426 0.916 0.450
Nb: 0.986 0.989 0.201
Nb: 0.486 0.364 0.701
Ta: 0.426 0.916 0.951

* excess energy over the best structure of this formula in the dataset: 0.0 kJ/mol of atoms
* ΔE_f (raw): -0.130 eV per atom
* SG: Pmn2_1

Cs3As2F8: relaxed, PBE-GGA.

Unit cell a=6.910 b=6.910 c=8.433 alpha=65.82 beta=65.82 gamma=60.00
Site moments in Bohr magnetons follow the coordinates.
Atoms (fractional coordinates):
As: 0.565 0.565 0.304  0.19
F: 0.272 0.272 0.684  0.01
F: 0.342 0.342 0.974  0.10
F: 0.658 0.658 0.026  0.10
F: 0.772 0.272 0.684  0.01
F: 0.728 0.728 0.316  0.01
As: 0.435 0.435 0.696  0.19
F: 0.272 0.772 0.684  0.01
Cs: 0.000 0.000 0.000  0.00
F: 0.228 0.728 0.316  0.01
Cs: 0.213 0.213 0.360  0.00
F: 0.728 0.228 0.316  0.01
Cs: 0.787 0.787 0.640  0.00

* ΔE_f (raw): -2.237 eV per atom
* SG: R-3m

K2SbI4: relaxed, PBE-GGA.

Unit cell a=6.255 b=6.255 c=9.860 alpha=108.49 beta=108.49 gamma=90.00
Atoms (fractional coordinates):
K: 0.630 0.630 0.259
I: 0.500 0.000 0.000
K: 0.370 0.370 0.741
I: 0.827 0.827 0.654
Sb: 0.000 0.000 0.000
I: 0.000 0.500 0.000
I: 0.173 0.173 0.346

* excess energy over the best structure of this formula in the dataset: 1.5 kJ/mol of atoms
* ΔE_f (raw): -0.852 eV per atom
* SG: I4/mmm

Dy3Er2Ir2: relaxed, PBE-GGA.

Unit cell a=3.848 b=6.282 c=8.750 alpha=114.39 beta=90.00 gamma=107.83
Atoms (fractional coordinates):
Dy: 0.382 0.763 0.569
Er: 0.168 0.336 0.809
Er: 0.832 0.664 0.191
Ir: 0.821 0.642 0.766
Dy: 0.618 0.237 0.431
Dy: 0.500 0.000 0.000
Ir: 0.179 0.358 0.234

* SG: C2/m
* ΔE_f: -0.641 eV/atom

no.,total magnetization (μB/cell)
1,5.9
2,3.7
3,0.0
4,1.0
5,0.0
6,1.0
7,0.0
8,0.0